A relaxed HfAl3Ag crystal, computed with GGA-PBE.

M_tot in Bohr magnetons per cell: 0.0
Energy above the lowest structure with this stoichiometry in eV/atom: 0.000
Formation energy in eV per atom: -0.16

abc: 5.445 5.622 5.785
angles: 90.00 90.32 90.00
Space group P2_1/m (No. 11)
Inequivalent atoms, fractional coordinates:
Hf  0.147  0.250  0.125 [2 per cell]
Al  0.338  0.503  0.676 [4 per cell]
Al  0.355  0.750  0.054 [2 per cell]
Ag  0.055  0.750  0.386 [2 per cell]